Entry 1:
VASP calculation (GGA-PBE) on an optimized crystal structure of Nb3CoPb.

Summary:
Density ... 6850 kg/m3
D(E_F) ... 10.77 states/eV/f.u.
Energy relative to the elements ... 2.51 eV per atom

The structure in CIF format:
```
data_Nb3CoPb
_chemical_formula_sum 'Nb3 Co1 Pb1'
_space_group_name_H-M_alt 'P m -3 m'
_space_group_IT_number 221
_space_group_name_Hall '-P 4 2 3'
_cell_length_a 5.0927
_cell_length_b 5.0927
_cell_length_c 5.0927
_cell_angle_alpha 90.00
_cell_angle_beta 90.00
_cell_angle_gamma 90.00
loop_
_atom_site_label
_atom_site_fract_x
_atom_site_fract_y
_atom_site_fract_z
_atom_site_occupancy
Nb1 0.0000 0.0000 0.5000 1
Co1 0.5000 0.5000 0.5000 1
Pb1 0.0000 0.0000 0.0000 1
```

---

Entry 2:
VASP calculation (GGA-PBE) on an optimized crystal structure of NbCoPb.

Summary:
Density ... 10876 kg/m3
D(E_F) ... 3.29 states/eV/f.u.
Energy relative to the elements ... 0.25 eV per atom

The structure in CIF format:
```
data_NbCoPb
_chemical_formula_sum 'Nb2 Co2 Pb2'
_space_group_name_H-M_alt 'C 1 m 1'
_space_group_IT_number 8
_cell_length_a 4.4532
_cell_length_b 4.4373
_cell_length_c 5.9358
_cell_angle_alpha 90.00
_cell_angle_beta 110.82
_cell_angle_gamma 90.00
loop_
_space_group_symop_operation_xyz
'x,y,z'
'x,-y,z'
'x+1/2,y+1/2,z'
'x+1/2,-y+1/2,z'
loop_
_atom_site_label
_atom_site_fract_x
_atom_site_fract_y
_atom_site_fract_z
_atom_site_occupancy
Nb1 0.0000 0.0000 0.0000 1
Co1 0.3998 0.0000 0.7754 1
Pb1 0.2160 0.5000 0.4187 1
```

---

Entry 3:
VASP calculation (GGA-PBE) on an optimized crystal structure of NbCoPb.

Summary:
Density ... 10519 kg/m3
D(E_F) ... 3.29 states/eV/f.u.
Energy relative to the elements ... 0.23 eV per atom

The structure in CIF format:
```
data_NbCoPb
_chemical_formula_sum 'Nb4 Co4 Pb4'
_space_group_name_H-M_alt 'A m m 2'
_space_group_IT_number 38
_cell_length_a 3.8111
_cell_length_b 3.5275
_cell_length_c 16.8639
_cell_angle_alpha 90.00
_cell_angle_beta 90.00
_cell_angle_gamma 90.00
loop_
_space_group_symop_operation_xyz
'x,y,z'
'-x,-y,z'
'-x,y,z'
'x,-y,z'
'x,y+1/2,z+1/2'
'-x,-y+1/2,z+1/2'
'-x,y+1/2,z+1/2'
'x,-y+1/2,z+1/2'
loop_
_atom_site_label
_atom_site_fract_x
_atom_site_fract_y
_atom_site_fract_z
_atom_site_occupancy
Nb1 0.0000 0.0000 0.0000 1
Nb2 0.5000 0.0000 0.4038 1
Co1 0.0000 0.0000 0.6192 1
Co2 0.5000 0.0000 0.5393 1
Pb1 0.0000 0.0000 0.8084 1
Pb2 0.5000 0.0000 0.1743 1
```

---

Entry 4:
VASP calculation (GGA-PBE) on an optimized crystal structure of NbCoPb.

Summary:
Density ... 10187 kg/m3
D(E_F) ... 1.66 states/eV/f.u.
Energy relative to the elements ... 0.34 eV per atom

The structure in CIF format:
```
data_NbCoPb
_chemical_formula_sum 'Nb3 Co3 Pb3'
_space_group_name_H-M_alt 'R 3 m'
_space_group_IT_number 160
_space_group_name_Hall 'R 3 -2"'
_cell_length_a 3.3192
_cell_length_b 3.3192
_cell_length_c 18.4012
_cell_angle_alpha 90.00
_cell_angle_beta 90.00
_cell_angle_gamma 120.00
loop_
_atom_site_label
_atom_site_fract_x
_atom_site_fract_y
_atom_site_fract_z
_atom_site_occupancy
Nb1 0.0000 0.0000 0.0000 1
Co1 0.0000 0.0000 0.2552 1
Pb1 0.0000 0.0000 0.4719 1
```

---

Entry 5:
VASP calculation (GGA-PBE) on an optimized crystal structure of NbCoPb.

Summary:
Density ... 11105 kg/m3
D(E_F) ... 2.73 states/eV/f.u.
Energy relative to the elements ... 0.30 eV per atom

The structure in CIF format:
```
data_NbCoPb
_chemical_formula_sum 'Nb4 Co4 Pb4'
_space_group_name_H-M_alt 'C 1 c 1'
_space_group_IT_number 9
_cell_length_a 8.2737
_cell_length_b 6.3441
_cell_length_c 5.2760
_cell_angle_alpha 90.00
_cell_angle_beta 129.15
_cell_angle_gamma 90.00
loop_
_space_group_symop_operation_xyz
'x,y,z'
'x,-y,z+1/2'
'x+1/2,y+1/2,z'
'x+1/2,-y+1/2,z+1/2'
loop_
_atom_site_label
_atom_site_fract_x
_atom_site_fract_y
_atom_site_fract_z
_atom_site_occupancy
Nb1 0.0000 0.1760 0.0000 1
Co1 0.3135 0.0262 0.5270 1
Pb1 0.1768 0.3419 0.6839 1
```

---

Entry 6:
VASP calculation (GGA-PBE) on an optimized crystal structure of NbCoPb3.

Summary:
Density ... 10168 kg/m3
D(E_F) ... 10.87 states/eV/f.u.
Energy relative to the elements ... 0.98 eV per atom

The structure in CIF format:
```
data_NbCoPb3
_chemical_formula_sum 'Nb1 Co1 Pb3'
_space_group_name_H-M_alt 'P m -3 m'
_space_group_IT_number 221
_space_group_name_Hall '-P 4 2 3'
_cell_length_a 5.0174
_cell_length_b 5.0174
_cell_length_c 5.0174
_cell_angle_alpha 90.00
_cell_angle_beta 90.00
_cell_angle_gamma 90.00
loop_
_atom_site_label
_atom_site_fract_x
_atom_site_fract_y
_atom_site_fract_z
_atom_site_occupancy
Nb1 0.0000 0.0000 0.0000 1
Co1 0.5000 0.5000 0.5000 1
Pb1 0.0000 0.5000 0.5000 1
```

---

Entry 7:
VASP calculation (GGA-PBE) on an optimized crystal structure of NbCoPb.

Summary:
Density ... 10534 kg/m3
D(E_F) ... 2.85 states/eV/f.u.
Energy relative to the elements ... 0.25 eV per atom

The structure in CIF format:
```
data_NbCoPb
_chemical_formula_sum 'Nb4 Co4 Pb4'
_space_group_name_H-M_alt 'C 1 m 1'
_space_group_IT_number 8
_cell_length_a 11.3174
_cell_length_b 3.7847
_cell_length_c 5.4341
_cell_angle_alpha 90.00
_cell_angle_beta 103.44
_cell_angle_gamma 90.00
loop_
_space_group_symop_operation_xyz
'x,y,z'
'x,-y,z'
'x+1/2,y+1/2,z'
'x+1/2,-y+1/2,z'
loop_
_atom_site_label
_atom_site_fract_x
_atom_site_fract_y
_atom_site_fract_z
_atom_site_occupancy
Nb1 0.0000 0.0000 0.0000 1
Nb2 0.0760 0.5000 0.5420 1
Co1 0.4088 0.0000 0.1794 1
Co2 0.4419 0.5000 0.5141 1
Pb1 0.2238 0.5000 0.1293 1
Pb2 0.3007 0.0000 0.6651 1
```

---

Entry 8:
VASP calculation (GGA-PBE) on an optimized crystal structure of NbCoPb.

Summary:
Density ... 11311 kg/m3
D(E_F) ... 1.85 states/eV/f.u.
Energy relative to the elements ... 0.37 eV per atom

The structure in CIF format:
```
data_NbCoPb
_chemical_formula_sum 'Nb1 Co1 Pb1'
_space_group_name_H-M_alt 'P -6 m 2'
_space_group_IT_number 187
_space_group_name_Hall 'P -6 2'
_cell_length_a 4.4661
_cell_length_b 4.4661
_cell_length_c 3.0515
_cell_angle_alpha 90.00
_cell_angle_beta 90.00
_cell_angle_gamma 120.00
loop_
_atom_site_label
_atom_site_fract_x
_atom_site_fract_y
_atom_site_fract_z
_atom_site_occupancy
Nb1 0.0000 0.0000 0.0000 1
Co1 0.6667 0.3333 0.5000 1
Pb1 0.3333 0.6667 0.5000 1
```

---

Entry 9:
VASP calculation (GGA-PBE) on an optimized crystal structure of NbCo2Pb.

Summary:
Density ... 10063 kg/m3
D(E_F) ... 4.06 states/eV/f.u.
Energy relative to the elements ... 0.59 eV per atom

The structure in CIF format:
```
data_NbCo2Pb
_chemical_formula_sum 'Nb4 Co8 Pb4'
_space_group_name_H-M_alt 'I -4 2 d'
_space_group_IT_number 122
_space_group_name_Hall 'I -4 2bw'
_cell_length_a 6.9440
_cell_length_b 6.9440
_cell_length_c 5.7214
_cell_angle_alpha 90.00
_cell_angle_beta 90.00
_cell_angle_gamma 90.00
loop_
_atom_site_label
_atom_site_fract_x
_atom_site_fract_y
_atom_site_fract_z
_atom_site_occupancy
Nb1 0.0000 0.0000 0.0000 1
Co1 0.2139 0.2500 0.1250 1
Pb1 0.0000 0.0000 0.5000 1
```

---

Entry 10:
VASP calculation (GGA-PBE) on an optimized crystal structure of Nb3CoPb.

Summary:
Density ... 8973 kg/m3
D(E_F) ... 3.81 states/eV/f.u.
Energy relative to the elements ... 0.53 eV per atom

The structure in CIF format:
```
data_Nb3CoPb
_chemical_formula_sum 'Nb3 Co1 Pb1'
_space_group_name_H-M_alt 'P m -3 m'
_space_group_IT_number 221
_space_group_name_Hall '-P 4 2 3'
_cell_length_a 4.6544
_cell_length_b 4.6544
_cell_length_c 4.6544
_cell_angle_alpha 90.00
_cell_angle_beta 90.00
_cell_angle_gamma 90.00
loop_
_atom_site_label
_atom_site_fract_x
_atom_site_fract_y
_atom_site_fract_z
_atom_site_occupancy
Nb1 0.0000 0.0000 0.5000 1
Co1 0.0000 0.0000 0.0000 1
Pb1 0.5000 0.5000 0.5000 1
```

---

Entry 11:
VASP calculation (GGA-PBE) on an optimized crystal structure of NbCoPb3.

Summary:
Density ... 7749 kg/m3
D(E_F) ... 8.59 states/eV/f.u.
Energy relative to the elements ... 1.11 eV per atom

The structure in CIF format:
```
data_NbCoPb3
_chemical_formula_sum 'Nb1 Co1 Pb3'
_space_group_name_H-M_alt 'P m -3 m'
_space_group_IT_number 221
_space_group_name_Hall '-P 4 2 3'
_cell_length_a 5.4930
_cell_length_b 5.4930
_cell_length_c 5.4930
_cell_angle_alpha 90.00
_cell_angle_beta 90.00
_cell_angle_gamma 90.00
loop_
_atom_site_label
_atom_site_fract_x
_atom_site_fract_y
_atom_site_fract_z
_atom_site_occupancy
Nb1 0.0000 0.0000 0.0000 1
Co1 0.5000 0.5000 0.5000 1
Pb1 0.0000 0.0000 0.5000 1
```

---

Entry 12:
VASP calculation (GGA-PBE) on an optimized crystal structure of NbCo3Pb.

Summary:
Density ... 8302 kg/m3
D(E_F) ... 6.31 states/eV/f.u.
Energy relative to the elements ... 1.20 eV per atom

The structure in CIF format:
```
data_NbCo3Pb
_chemical_formula_sum 'Nb1 Co3 Pb1'
_space_group_name_H-M_alt 'P m -3 m'
_space_group_IT_number 221
_space_group_name_Hall '-P 4 2 3'
_cell_length_a 4.5692
_cell_length_b 4.5692
_cell_length_c 4.5692
_cell_angle_alpha 90.00
_cell_angle_beta 90.00
_cell_angle_gamma 90.00
loop_
_atom_site_label
_atom_site_fract_x
_atom_site_fract_y
_atom_site_fract_z
_atom_site_occupancy
Nb1 0.0000 0.0000 0.0000 1
Co1 0.0000 0.0000 0.5000 1
Pb1 0.5000 0.5000 0.5000 1
```

---

Entry 13:
VASP calculation (GGA-PBE) on an optimized crystal structure of SrNbCo2Pb.

Summary:
Density ... 6412 kg/m3
D(E_F) ... 8.60 states/eV/f.u.
Energy relative to the elements ... 1.27 eV per atom

The structure in CIF format:
```
data_SrNbCo2Pb
_chemical_formula_sum 'Sr1 Nb1 Co2 Pb1'
_space_group_name_H-M_alt 'P 4/m m m'
_space_group_IT_number 123
_space_group_name_Hall '-P 4 2'
_cell_length_a 4.9333
_cell_length_b 4.9333
_cell_length_c 5.3800
_cell_angle_alpha 90.00
_cell_angle_beta 90.00
_cell_angle_gamma 90.00
loop_
_atom_site_label
_atom_site_fract_x
_atom_site_fract_y
_atom_site_fract_z
_atom_site_occupancy
Sr1 0.0000 0.0000 0.0000 1
Nb1 0.5000 0.5000 0.0000 1
Co1 0.0000 0.5000 0.5000 1
Pb1 0.5000 0.5000 0.5000 1
```